Computed, not measured: an optimized crystal structure of CsLaCu3 at the PBE-GGA level of DFT.

Lattice parameters (Å, degrees): 5.649 5.649 5.649 90.00 90.00 90.00
Element x y z (fractional)
Cs 0.000 0.000 0.000
La 0.500 0.500 0.500
Cu 0.000 0.500 0.500
Cu 0.500 0.000 0.500
Cu 0.500 0.500 0.000

Values from the calculation:
Its formation enthalpy at 0 K is 642 meV/atom. Its volume is 36.05 A^3/atom. The symmetry is Pm-3m, No. 221. For the density of states at the Fermi level, the calculation gives 2.4 states/eV/cell.

---

Computed, not measured: an optimized crystal structure of TbMgPd3 at the PBE-GGA level of DFT.

Lattice parameters (Å, degrees): 5.009 5.009 9.718 90.00 90.00 130.05
Element x y z (fractional)
Tb 0.117 0.883 0.750
Tb 0.883 0.117 0.250
Mg 0.500 0.500 0.000
Mg 0.500 0.500 0.500
Pd 0.189 0.811 0.080
Pd 0.189 0.811 0.420
Pd 0.411 0.589 0.750
Pd 0.589 0.411 0.250
Pd 0.811 0.189 0.580
Pd 0.811 0.189 0.920

Values from the calculation:
Its formation enthalpy at 0 K is -725 meV/atom. Its volume is 18.67 A^3/atom. The symmetry is Cmcm, No. 63. For the density of states at the Fermi level, the calculation gives 3.8 states/eV/cell.

---

Computed, not measured: an optimized crystal structure of YPd6Pt6 at the PBE-GGA level of DFT.

Lattice parameters (Å, degrees): 6.975 6.975 6.975 135.17 98.99 97.73
Element x y z (fractional)
Y 0.000 0.000 0.000
Pd 0.199 0.699 0.500
Pd 0.344 0.000 0.344
Pd 0.346 0.346 0.000
Pd 0.654 0.654 0.000
Pd 0.656 0.000 0.656
Pd 0.801 0.301 0.500
Pt 0.000 0.000 0.500
Pt 0.000 0.500 0.000
Pt 0.228 0.500 0.728
Pt 0.500 0.000 0.000
Pt 0.500 0.500 0.500
Pt 0.772 0.500 0.272

Values from the calculation:
Its formation enthalpy at 0 K is -296 meV/atom. Its volume is 17.01 A^3/atom. The symmetry is Immm, No. 71. For the density of states at the Fermi level, the calculation gives 15.3 states/eV/cell.

---

Computed, not measured: an optimized crystal structure of CsRb2SmF6 at the PBE-GGA level of DFT.

Lattice parameters (Å, degrees): 6.790 7.148 11.743 90.00 124.02 90.00
Element x y z (fractional)
Cs 0.000 0.000 0.000
Cs 0.000 0.500 0.500
Rb 0.223 0.043 0.734
Rb 0.223 0.457 0.234
Rb 0.777 0.543 0.766
Rb 0.777 0.957 0.266
Sm 0.500 0.000 0.500
Sm 0.500 0.500 0.000
F 0.184 0.159 0.464
F 0.184 0.341 0.964
F 0.256 0.747 0.409
F 0.256 0.753 0.909
F 0.408 0.086 0.290
F 0.408 0.414 0.790
F 0.592 0.586 0.210
F 0.592 0.914 0.710
F 0.744 0.247 0.091
F 0.744 0.253 0.591
F 0.816 0.659 0.036
F 0.816 0.841 0.536

Values from the calculation:
For the energy relative to the elements, uncorrected, the calculation gives -3293 meV/atom. Its volume is 23.62 A^3/atom. The symmetry is P2_1/c, No. 14. For the density of states at the Fermi level, the calculation gives 0.0 states/eV/cell.

---

Computed, not measured: an optimized crystal structure of LaPrPb2 at the PBE-GGA level of DFT.

Lattice parameters (Å, degrees): 5.180 5.180 4.647 90.00 90.00 90.00
Element x y z (fractional)
La 0.000 0.000 0.000
Pr 0.500 0.500 0.000
Pb 0.000 0.500 0.500
Pb 0.500 0.000 0.500

Values from the calculation:
Its formation enthalpy at 0 K is -550 meV/atom. Its volume is 31.18 A^3/atom. The symmetry is P4/mmm, No. 123. For the density of states at the Fermi level, the calculation gives 4.1 states/eV/cell.

---

Computed, not measured: an optimized crystal structure of Na2ThHg at the PBE-GGA level of DFT.

Lattice parameters (Å, degrees): 12.285 12.285 12.285 15.88 15.88 15.88
Element x y z (fractional)
Na 0.096 0.096 0.096
Na 0.904 0.904 0.904
Th 0.000 0.000 0.000
Hg 0.500 0.500 0.500

Values from the calculation:
Its formation enthalpy at 0 K is 135 meV/atom. Its volume is 30.25 A^3/atom. The symmetry is R-3m, No. 166. For the density of states at the Fermi level, the calculation gives 3.5 states/eV/cell.

---

Computed, not measured: an optimized crystal structure of Sr2MgH6 at the PBE-GGA level of DFT.

Lattice parameters (Å, degrees): 5.460 5.460 4.179 90.00 90.00 120.00
Element x y z (fractional)
Sr 0.333 0.667 0.237
Sr 0.667 0.333 0.763
Mg 0.000 0.000 0.500
H 0.178 0.355 0.736
H 0.178 0.822 0.736
H 0.355 0.178 0.264
H 0.645 0.822 0.736
H 0.822 0.178 0.264
H 0.822 0.645 0.264

Values from the calculation:
Its volume is 11.99 A^3/atom. The symmetry is P-3m1, No. 164. For the density of states at the Fermi level, the calculation gives 0.0 states/eV/cell. Its final energy is -3.2380 eV/atom.

---

Computed, not measured: an optimized crystal structure of SrSi at the PBE-GGA level of DFT.

Lattice parameters (Å, degrees): 7.923 7.923 7.923 109.47 109.47 109.47
Element x y z (fractional)
Sr 0.000 0.000 0.422
Sr 0.000 0.422 0.000
Sr 0.422 0.000 0.000
Sr 0.578 0.578 0.578
Si 0.000 0.000 0.814
Si 0.000 0.814 0.000
Si 0.186 0.186 0.186
Si 0.814 0.000 0.000

Values from the calculation:
For the energy relative to the elements, uncorrected, the calculation gives 29 meV/atom. Its volume is 47.87 A^3/atom. The symmetry is I-43m, No. 217. For the density of states at the Fermi level, the calculation gives 8.0 states/eV/cell.